The following is a DFT calculation (GGA-PBE) of a geometry-optimized Sr2LaP structure.

Cell: 5.8356 13.8306 4.2639 Å, 90.00 90.00 90.00°
Closest atoms and distances in Å follow each position.
Fractional positions:
Sr  0.0000  0.1516  0.0000  2 P 2.99
Sr  0.0000  0.8484  0.0000  2 P 2.99
Sr  0.5000  0.3484  0.0000  2 P 2.99
Sr  0.5000  0.6516  0.0000  2 P 2.99
La  0.0000  0.5000  0.5000  2 P 2.92
La  0.5000  0.0000  0.5000  2 P 2.92
P  0.0000  0.0000  0.5000  2 La 2.92, 4 Sr 2.99
P  0.5000  0.5000  0.5000  2 La 2.92, 4 Sr 2.99

## Properties
Polymorph energy (0 for the lowest one) (meV per atom): 44.6
Formation energy (eV per atom): -0.52
Uncorrected energy (eV/atom): -3.95
DOS(E_F) (states/eV/f.u.): 5.003

=====

The following is a DFT calculation (GGA-PBE) of a geometry-optimized ScHg4Te structure.

Cell: 6.0223 6.0223 6.0223 Å, 60.00 60.00 60.00°
Closest atoms and distances in Å follow each position.
Fractional positions:
Sc  0.0000  0.0000  0.0000  12 Hg 3.53, 4 Te 3.69
Hg  0.3748  0.3748  0.3748  6 Hg 3.01-3.02
Hg  0.3748  0.3748  0.8755  6 Hg 3.01-3.02
Hg  0.3748  0.8755  0.3748  6 Hg 3.01-3.02
Hg  0.8755  0.3748  0.3748  6 Hg 3.01-3.02
Te  0.7500  0.7500  0.7500  12 Hg 3.53, 4 Sc 3.69

## Properties
Formation energy without anion corrections (eV per atom): 0.082
Uncorrected energy (eV/atom): -1.70
DOS(E_F) (states/eV/f.u.): 4.085

=====

The following is a DFT calculation (GGA-PBE) of a geometry-optimized Ho6SnOs2 structure.

Cell: 8.4721 8.4721 8.4721 Å, 112.51 111.76 104.27°
Closest atoms and distances in Å follow each position.
Fractional positions:
Ho  0.0326  0.2420  0.7906  1 Os 2.76
Ho  0.1841  0.2825  0.4666  3 Os 2.98-3.00, 1 Sn 3.18
Ho  0.1841  0.7175  0.9016  3 Os 2.98-3.00, 1 Sn 3.18
Ho  0.3321  0.0191  0.6870  3 Os 2.80-2.96
Ho  0.3321  0.6451  0.3130  3 Os 2.80-2.96
Ho  0.4514  0.2420  0.2094  1 Os 2.76
Ho  0.5486  0.7580  0.7906  1 Os 2.76
Ho  0.6679  0.3549  0.6870  3 Os 2.80-2.96
Ho  0.6679  0.9809  0.3130  3 Os 2.80-2.96
Ho  0.8159  0.2825  0.0984  3 Os 2.98-3.00, 1 Sn 3.18
Ho  0.8159  0.7175  0.5334  3 Os 2.98-3.00, 1 Sn 3.18
Ho  0.9674  0.7580  0.2094  1 Os 2.76
Sn  0.0000  0.0000  0.0000  2 Os 3.13, 8 Ho 3.18-3.21
Sn  0.5000  0.5000  0.0000  12 Ho 3.34-3.63
Os  0.1221  0.6221  0.5000  1 Os 2.54, 2 Ho 2.80
Os  0.3298  0.0000  0.3298  8 Ho 2.76-3.00
Os  0.6702  0.0000  0.6702  8 Ho 2.76-3.00
Os  0.8779  0.3779  0.5000  1 Os 2.54, 2 Ho 2.80

## Properties
Formation energy (eV per atom): -0.39
Uncorrected energy (eV/atom): -6.38
DOS(E_F) (states/eV/f.u.): 8.302

=====

The following is a DFT calculation (GGA-PBE) of a geometry-optimized CsAcTeI structure.

Cell: 8.2180 4.7533 9.8368 Å, 90.00 106.11 90.00°
Closest atoms and distances in Å follow each position.
Fractional positions:
Cs  0.0000  0.0000  0.0000  3 Te 3.69, 3 I 4.04-4.05
Cs  0.5000  0.5000  0.0000  3 Te 3.69, 3 I 4.04-4.05
Ac  0.1815  0.0000  0.5441  3 Te 3.30, 3 I 3.50
Ac  0.6815  0.5000  0.5441  3 Te 3.30, 3 I 3.50
Te  0.0799  0.5000  0.7383  3 Ac 3.30, 3 Cs 3.69
Te  0.5799  0.0000  0.7383  3 Ac 3.30, 3 Cs 3.69
I  0.2716  0.5000  0.3144  3 Ac 3.50
I  0.7716  0.0000  0.3144  3 Ac 3.50

## Properties
Formation energy without anion corrections (eV per atom): -1.281
Uncorrected energy (eV/atom): -3.69
DOS(E_F) (states/eV/f.u.): 2.507

=====

Which value of uncorrected energy does entry 3 give? -6.38 eV/atom